Record 1
# TiCdP2 (PBE, relaxed)
data_TiCdP2
_space_group_name_H-M_alt 'I -4 2 d'
_space_group_IT_number 122
_space_group_name_Hall 'I -4 2bw'
_cell_length_a 5.8058
_cell_length_b 5.8058
_cell_length_c 11.3841
_cell_angle_alpha 90.00
_cell_angle_beta 90.00
_cell_angle_gamma 90.00
loop_
_atom_site_label
_atom_site_type_symbol
_atom_site_fract_x
_atom_site_fract_y
_atom_site_fract_z
Ti1 Ti 0.0000 0.0000 0.0000
Cd1 Cd 0.0000 0.0000 0.5000
P1 P 0.2168 0.2500 0.1250
# DOS(E_F)	0.000	states/eV per atom
# magnetic moment	0.000	μB per cell
# DFT formation energy	-0.285	eV per atom

***

Record 2
# SmYAlTc (PBE, relaxed)
data_SmYAlTc
_space_group_name_H-M_alt 'F -4 3 m'
_space_group_IT_number 216
_space_group_name_Hall 'F -4 2 3'
_cell_length_a 7.1177
_cell_length_b 7.1177
_cell_length_c 7.1177
_cell_angle_alpha 90.00
_cell_angle_beta 90.00
_cell_angle_gamma 90.00
loop_
_atom_site_label
_atom_site_type_symbol
_atom_site_fract_x
_atom_site_fract_y
_atom_site_fract_z
Sm1 Sm 0.0000 0.0000 0.0000
Y1 Y 0.0000 0.0000 0.5000
Al1 Al 0.2500 0.2500 0.2500
Tc1 Tc 0.2500 0.2500 0.7500
# DOS(E_F)	1.012	states/eV per atom
# magnetic moment	0.000	μB per cell
# DFT formation energy	-0.094	eV per atom

***

Record 3
# AsPb3Cl3 (PBE, relaxed)
data_AsPb3Cl3
_space_group_name_H-M_alt 'P 1 21/m 1'
_space_group_IT_number 11
_space_group_name_Hall '-P 2yb'
_cell_length_a 8.7119
_cell_length_b 4.3886
_cell_length_c 12.1769
_cell_angle_alpha 90.00
_cell_angle_beta 97.28
_cell_angle_gamma 90.00
loop_
_atom_site_label
_atom_site_type_symbol
_atom_site_fract_x
_atom_site_fract_y
_atom_site_fract_z
As1 As 0.1461 0.2500 0.1358
Pb1 Pb 0.0902 0.2500 0.8850
Pb2 Pb 0.1756 0.2500 0.3830
Pb3 Pb 0.3792 0.7500 0.1367
Cl1 Cl 0.0526 0.2500 0.6286
Cl2 Cl 0.3547 0.7500 0.8922
Cl3 Cl 0.4000 0.7500 0.3779
# ΔE_f (raw)	-0.7619	eV per atom
# magnetic moment	0.000	μB per cell

***

Record 4
# ZnP2O (PBE, relaxed)
data_ZnP2O
_space_group_name_H-M_alt 'F m -3 m'
_space_group_IT_number 225
_space_group_name_Hall '-F 4 2 3'
_cell_length_a 5.9090
_cell_length_b 5.9090
_cell_length_c 5.9090
_cell_angle_alpha 90.00
_cell_angle_beta 90.00
_cell_angle_gamma 90.00
loop_
_atom_site_label
_atom_site_type_symbol
_atom_site_fract_x
_atom_site_fract_y
_atom_site_fract_z
Zn1 Zn 0.0000 0.0000 0.0000
P1 P 0.2500 0.2500 0.2500
O1 O 0.0000 0.0000 0.5000
# ΔE_f (raw)	0.6057	eV per atom
# ΔE to the lowest computed polymorph	2.05	eV per formula unit
# DOS(E_F)	0.695	states/eV per atom
# magnetic moment	0.000	μB per cell